1.
VASP calculation (GGA-PBE) on a relaxed TmScPd2 crystal.

a = 4.8392 Å, b = 4.8392 Å, c = 3.3201 Å
α = 90.00°, β = 90.00°, γ = 90.00°
Atoms (fractional coordinates):
Tm 0.0000 0.0000 0.0000
Sc 0.5000 0.5000 0.0000
Pd 0.0000 0.5000 0.5000
Pd 0.5000 0.0000 0.5000

The energy relative to the elements comes out at -0.910 eV per atom. The calculation puts the energy relative to the lowest polymorph listed for this composition at 15 meV/atom. The space group is P4/mmm, No. 123.



2.
VASP calculation (GGA-PBE) on a relaxed LiTa2HgPb crystal.

a = 4.6314 Å, b = 4.6314 Å, c = 4.5631 Å
α = 90.00°, β = 90.00°, γ = 90.00°
Atoms (fractional coordinates):
Li 0.0000 0.0000 0.0000
Ta 0.0000 0.5000 0.0000
Ta 0.5000 0.0000 0.0000
Hg 0.0000 0.0000 0.5000
Pb 0.5000 0.5000 0.5000

The energy relative to the elements comes out at 1.083 eV per atom. The space group is P4/mmm, No. 123.



3.
VASP calculation (GGA-PBE) on a relaxed Na2HfAlO4 crystal.

a = 5.8573 Å, b = 5.8573 Å, c = 5.8573 Å
α = 126.27°, β = 126.27°, γ = 79.44°
Atoms (fractional coordinates):
Na 0.0000 0.0000 0.0000
Na 0.7500 0.2500 0.5000
Hf 0.5000 0.5000 0.0000
Al 0.2500 0.7500 0.5000
O 0.2260 0.1052 0.5970
O 0.3710 0.7740 0.8792
O 0.5082 0.6290 0.4030
O 0.8948 0.4918 0.1208

The space group is I-4, No. 82. The value obtained for the formation energy without anion corrections is -2.43 eV/atom.



4.
VASP calculation (GGA-PBE) on a relaxed Er3Si5S12 crystal.

a = 12.8674 Å, b = 12.8674 Å, c = 12.8674 Å
α = 109.47°, β = 109.47°, γ = 109.47°
Atoms (fractional coordinates):
Er 0.1250 0.2500 0.3750
Er 0.1250 0.3750 0.7500
Er 0.2500 0.3750 0.1250
Er 0.2500 0.8750 0.6250
Er 0.3750 0.1250 0.2500
Er 0.3750 0.7500 0.1250
Er 0.6250 0.2500 0.8750
Er 0.6250 0.8750 0.7500
Er 0.7500 0.1250 0.3750
Er 0.7500 0.6250 0.8750
Er 0.8750 0.6250 0.2500
Er 0.8750 0.7500 0.6250
Si 0.0000 0.0000 0.0000
Si 0.0000 0.0000 0.5000
Si 0.0000 0.5000 0.0000
Si 0.0000 0.5000 0.5000
Si 0.1250 0.7500 0.8750
Si 0.1250 0.8750 0.2500
Si 0.2500 0.1250 0.8750
Si 0.2500 0.6250 0.3750
Si 0.3750 0.2500 0.6250
Si 0.3750 0.6250 0.7500
Si 0.5000 0.0000 0.0000
Si 0.5000 0.0000 0.5000
Si 0.5000 0.5000 0.0000
Si 0.5000 0.5000 0.5000
Si 0.6250 0.3750 0.2500
Si 0.6250 0.7500 0.3750
Si 0.7500 0.3750 0.6250
Si 0.7500 0.8750 0.1250
Si 0.8750 0.1250 0.7500
Si 0.8750 0.2500 0.1250
S 0.0284 0.2142 0.1253
S 0.0284 0.3142 0.9031
S 0.0889 0.7142 0.6858
S 0.0889 0.8747 0.4031
S 0.0969 0.6253 0.4111
S 0.0969 0.9716 0.6858
S 0.1253 0.0284 0.2142
S 0.1253 0.5969 0.9111
S 0.1858 0.2142 0.5889
S 0.1858 0.4716 0.5969
S 0.2142 0.1253 0.0284
S 0.2142 0.5889 0.1858
S 0.2858 0.3142 0.9111
S 0.2858 0.4716 0.3747
S 0.3142 0.9031 0.0284
S 0.3142 0.9111 0.2858
S 0.3747 0.2858 0.4716
S 0.3747 0.5889 0.9031
S 0.4031 0.0889 0.8747
S 0.4031 0.8142 0.5284
S 0.4111 0.0969 0.6253
S 0.4111 0.8142 0.7858
S 0.4716 0.3747 0.2858
S 0.4716 0.5969 0.1858
S 0.5284 0.4031 0.8142
S 0.5284 0.6253 0.7142
S 0.5889 0.1858 0.2142
S 0.5889 0.9031 0.3747
S 0.5969 0.1858 0.4716
S 0.5969 0.9111 0.1253
S 0.6253 0.4111 0.0969
S 0.6253 0.7142 0.5284
S 0.6858 0.0889 0.7142
S 0.6858 0.0969 0.9716
S 0.7142 0.5284 0.6253
S 0.7142 0.6858 0.0889
S 0.7858 0.4111 0.8142
S 0.7858 0.8747 0.9716
S 0.8142 0.5284 0.4031
S 0.8142 0.7858 0.4111
S 0.8747 0.4031 0.0889
S 0.8747 0.9716 0.7858
S 0.9031 0.0284 0.3142
S 0.9031 0.3747 0.5889
S 0.9111 0.1253 0.5969
S 0.9111 0.2858 0.3142
S 0.9716 0.6858 0.0969
S 0.9716 0.7858 0.8747

The space group is Ia-3d, No. 230. The value obtained for the formation energy without anion corrections is -0.94 eV/atom.



5.
VASP calculation (GGA-PBE) on a relaxed CaSiAu2 crystal.

a = 3.7331 Å, b = 4.5893 Å, c = 5.1175 Å
α = 90.00°, β = 90.00°, γ = 90.00°
Atoms (fractional coordinates):
Ca 0.0000 0.0000 0.0000
Si 0.5000 0.5000 0.7094
Au 0.5000 0.0000 0.5193
Au 0.5000 0.5000 0.1927

The space group is Pmm2, No. 25. The value obtained for the formation energy without anion corrections is -0.46 eV/atom.



6.
VASP calculation (GGA-PBE) on a relaxed CsNaI2O crystal.

a = 6.4226 Å, b = 6.4226 Å, c = 4.6760 Å
α = 90.00°, β = 90.00°, γ = 90.00°
Atoms (fractional coordinates):
Cs 0.0000 0.0000 0.0000
Na 0.5000 0.5000 0.5000
I 0.0000 0.5000 0.5000
I 0.5000 0.0000 0.5000
O 0.5000 0.5000 0.0000

The calculation puts the energy relative to the lowest polymorph listed for this composition at 0 meV/atom. The space group is P4/mmm, No. 123. The value obtained for the formation energy without anion corrections is -0.67 eV/atom.



7.
VASP calculation (GGA-PBE) on a relaxed Pa2CoRh crystal.

a = 3.4048 Å, b = 3.4048 Å, c = 6.5925 Å
α = 90.00°, β = 90.00°, γ = 90.00°
Atoms (fractional coordinates):
Pa 0.0000 0.0000 0.2260
Pa 0.0000 0.0000 0.7740
Co 0.5000 0.5000 0.0000
Rh 0.5000 0.5000 0.5000

The energy relative to the elements comes out at -0.359 eV per atom. The calculation puts the energy relative to the lowest polymorph listed for this composition at 177 meV/atom. The space group is P4/mmm, No. 123.



8.
VASP calculation (GGA-PBE) on a relaxed CaCuOs crystal.

a = 5.5227 Å, b = 5.5227 Å, c = 5.5227 Å
α = 151.63°, β = 136.79°, γ = 52.50°
Atoms (fractional coordinates):
Ca 0.0000 0.0000 0.0000
Cu 0.2851 0.2851 0.0000
Os 0.7044 0.7044 0.0000

The energy relative to the elements comes out at 0.427 eV per atom. The calculation puts the energy relative to the lowest polymorph listed for this composition at 0 meV/atom. The space group is Imm2, No. 44.



9.
VASP calculation (GGA-PBE) on a relaxed Ba3CdAg3 crystal.

a = 9.9719 Å, b = 9.9719 Å, c = 6.7490 Å
α = 90.00°, β = 90.00°, γ = 120.00°
Atoms (fractional coordinates):
Ba 0.0578 0.3636 0.2500
Ba 0.3059 0.9422 0.2500
Ba 0.3636 0.3059 0.7500
Ba 0.6364 0.6941 0.2500
Ba 0.6941 0.0578 0.7500
Ba 0.9422 0.6364 0.7500
Cd 0.3333 0.6667 0.7500
Cd 0.6667 0.3333 0.2500
Ag 0.0580 0.3708 0.7500
Ag 0.3128 0.9420 0.7500
Ag 0.3708 0.3128 0.2500
Ag 0.6292 0.6872 0.7500
Ag 0.6872 0.0580 0.2500
Ag 0.9420 0.6292 0.2500

The energy relative to the elements comes out at -0.135 eV per atom. The calculation puts the energy relative to the lowest polymorph listed for this composition at 146 meV/atom. The space group is P6_3/m, No. 176.



10.
VASP calculation (GGA-PBE) on a relaxed CdBrF crystal.

a = 6.8649 Å, b = 6.8649 Å, c = 6.4057 Å
α = 109.28°, β = 109.28°, γ = 32.58°
Atoms (fractional coordinates):
Cd 0.2464 0.2464 0.2377
Cd 0.7536 0.7536 0.7623
Br 0.3877 0.3877 0.6694
Br 0.6123 0.6123 0.3306
F 0.1815 0.1815 0.8593
F 0.8185 0.8185 0.1407

The calculation puts the energy relative to the lowest polymorph listed for this composition at 0 meV/atom. The space group is C2/m, No. 12. The value obtained for the formation energy without anion corrections is -1.51 eV/atom.



11.
VASP calculation (GGA-PBE) on a relaxed YMnRe2 crystal.

a = 4.4924 Å, b = 4.4924 Å, c = 4.4924 Å
α = 60.00°, β = 60.00°, γ = 60.00°
Atoms (fractional coordinates):
Y 0.0000 0.0000 0.0000
Mn 0.5000 0.5000 0.5000
Re 0.2500 0.2500 0.2500
Re 0.7500 0.7500 0.7500

The energy relative to the elements comes out at 0.615 eV per atom. The calculation puts the energy relative to the lowest polymorph listed for this composition at 424 meV/atom. The space group is Fm-3m, No. 225.



12.
VASP calculation (GGA-PBE) on a relaxed K5Co3 crystal.

a = 7.3968 Å, b = 7.3968 Å, c = 5.5827 Å
α = 90.00°, β = 90.00°, γ = 100.11°
Atoms (fractional coordinates):
K 0.0000 0.0000 0.0000
K 0.0000 0.5000 0.0000
K 0.2992 0.2992 0.5000
K 0.5000 0.0000 0.0000
K 0.7008 0.7008 0.5000
Co 0.2221 0.7779 0.5000
Co 0.5000 0.5000 0.0000
Co 0.7779 0.2221 0.5000

The energy relative to the elements comes out at 1.106 eV per atom. The space group is Cmmm, No. 65.



Number 1: N(E_F) 1.70 states/eV/f.u., energy -24.83 eV/cell. Number 2: N(E_F) 3.18 states/eV/f.u., energy -24.22 eV/cell. Number 3: N(E_F) 0.45 states/eV/f.u., energy -55.60 eV/cell. Number 4: N(E_F) 1.40 states/eV/f.u., energy -436.77 eV/cell. Number 5: N(E_F) 1.53 states/eV/f.u., energy -15.83 eV/cell. Number 6: N(E_F) 4.13 states/eV/f.u., energy -13.58 eV/cell. Number 7: N(E_F) 7.36 states/eV/f.u., energy -34.88 eV/cell. Number 8: N(E_F) 2.40 states/eV/f.u., energy -16.05 eV/cell. Number 9: N(E_F) 4.84 states/eV/f.u., energy -32.36 eV/cell. Number 10: N(E_F) 0.00 states/eV/f.u., energy -17.96 eV/cell. Number 11: N(E_F) 4.86 states/eV/f.u., energy -38.07 eV/cell. Number 12: N(E_F) 6.89 states/eV/f.u., energy -17.96 eV/cell.